No. 1
The following is a PBE calculation of crystalline PrMgTlH at its relaxed geometry, from Alexandria via LeMat-Bulk.

Cell lengths 4.4607, 4.4607, 8.4088 Å; angles 90.00, 90.00, 90.00 degrees
With the nearest neighbours (Å) after each atom.
Space group P4/nmm (No. 129, origin choice 2)
Symmetry-distinct sites (fractional):
1 Pr 0.2500 0.2500 0.1321 x2  4 H 2.49
2 Mg 0.2500 0.7500 0.5000 x2  4 Tl 2.95, 4 Mg 3.15
3 Tl 0.2500 0.2500 0.7293 x2  4 Mg 2.95, 4 H 3.19
4 H 0.2500 0.7500 0.0000 x2  4 Pr 2.49

Properties
Calculated volume = 20.91 Å³/atom
Magnetic moment = 0.00 μB/cell
E_tot = -3.42 eV per atom

=====

No. 2
The following is a PBE calculation of crystalline Mg8Al4Cu2Si7 at its relaxed geometry, from Alexandria via LeMat-Bulk.

Cell lengths 10.4091, 3.9620, 10.5133 Å; angles 90.00, 119.64, 90.00 degrees
With the nearest neighbours (Å) after each atom.
Space group Pm (No. 6)
Symmetry-distinct sites (fractional):
1 Mg 0.0000 0.0000 0.0000 x1  4 Si 2.65-2.70
2 Mg 0.0106 0.5000 0.5497 x1  5 Si 2.67-2.91
3 Mg 0.1412 0.5000 0.2660 x1  2 Cu 2.70, 3 Si 2.75-2.83
4 Mg 0.2023 0.5000 0.9465 x1  5 Si 2.82-2.92, 4 Mg 3.12-3.14
5 Mg 0.2535 0.0000 0.7467 x1  4 Si 2.65-2.69
6 Mg 0.3844 0.5000 0.6033 x1  2 Cu 2.70, 5 Si 2.74-3.03
7 Mg 0.4851 0.5000 0.3662 x1  3 Si 2.64-2.85, 2 Cu 2.69
8 Mg 0.7967 0.5000 0.7465 x1  5 Si 2.79-2.87, 2 Al 3.10
9 Al 0.4874 0.0000 0.0773 x1  3 Si 2.56-2.69, 2 Cu 2.65
10 Al 0.6518 0.0000 0.8870 x1  5 Si 2.65-2.96, 2 Cu 2.94
11 Al 0.7583 0.0000 0.5039 x1  4 Si 2.52-2.56
12 Al 0.8600 0.0000 0.2476 x1  3 Si 2.59-2.87, 2 Cu 2.69
13 Cu 0.3360 0.0000 0.4094 x1  3 Si 2.38-2.39
14 Cu 0.6679 0.5000 0.1016 x1  3 Si 2.29-2.33
15 Si 0.1334 0.0000 0.4541 x1  1 Cu 2.38, 1 Al 2.59
16 Si 0.2979 0.0000 0.1657 x1  1 Cu 2.39, 1 Al 2.56
17 Si 0.4399 0.5000 0.8864 x1  1 Cu 2.33
18 Si 0.5830 0.0000 0.6087 x1  1 Cu 2.38, 2 Al 2.56-2.65
19 Si 0.7266 0.5000 0.3427 x1  1 Cu 2.29, 2 Al 2.52
20 Si 0.8538 0.5000 0.0391 x1  1 Cu 2.33
21 Si 0.9963 0.0000 0.7456 x1  1 Al 2.52, 2 Mg 2.66-2.67

Properties
Uncorrected formation energy = -47.2 meV per atom
Calculated volume = 17.94 Å³/atom
Magnetic moment = 0.00 μB/cell